P | An optimized crystal structure of ZrNiOs2. Source: Alexandria, functional GGA-PBE.

Values from the calculation:
Crystal system: tetragonal
DOS at the Fermi energy: 5.83 states/eV/cell
Total magnetization: 0.0 μB/f.u.

a b c (Å): 2.8519 2.8519 7.4828
angles (deg): 90.00 90.00 90.00
With the nearest neighbours (Å) after each atom.
Space group P4/mmm (No. 123)
Inequivalent atoms, fractional coordinates:
Zr: 0.0000 0.0000 0.0000  4 Zr 2.85, 8 Os 2.97
Ni: 0.0000 0.0000 0.5000  8 Os 2.55, 4 Ni 2.85
Os: 0.5000 0.5000 0.2912  4 Ni 2.55, 4 Os 2.85

Q | An optimized crystal structure of ZrNiOs2. Source: Alexandria, functional GGA-PBE.

Values from the calculation:
Crystal system: monoclinic
DOS at the Fermi energy: 3.84 states/eV/cell
Total magnetization: 0.0 μB/f.u.

a b c (Å): 2.8046 4.5308 4.8647
angles (deg): 90.00 96.71 90.00
With the nearest neighbours (Å) after each atom.
Space group P2/m (No. 10)
Inequivalent atoms, fractional coordinates:
Zr: 0.0000 0.0000 0.0000  4 Ni 2.66-2.95, 2 Zr 2.80, 4 Os 2.81
Ni: 0.5000 0.0000 0.5000  4 Os 2.61, 2 Zr 2.66, 2 Ni 2.80
Os: 0.3107 0.5000 0.7312  5 Os 2.60-2.80, 2 Ni 2.61, 2 Zr 2.81

R | An optimized crystal structure of ZrNiOs2. Source: Alexandria, functional GGA-PBE.

Values from the calculation:
Crystal system: tetragonal
DOS at the Fermi energy: 17.04 states/eV/cell
Total magnetization: 0.0 μB/f.u.

a b c (Å): 3.8904 3.8904 18.0692
angles (deg): 90.00 90.00 90.00
With the nearest neighbours (Å) after each atom.
Space group I-42d (No. 122)
Inequivalent atoms, fractional coordinates:
Zr: 0.0000 0.0000 0.0000  4 Os 2.75, 4 Ni 2.75
Ni: 0.0000 0.0000 0.5000  4 Os 2.56, 4 Zr 2.75
Os: 0.1861 0.2500 0.6250  2 Os 2.43, 2 Ni 2.56

S | An optimized crystal structure of ZrNiOs2. Source: Alexandria, functional GGA-PBE.

Values from the calculation:
Crystal system: trigonal
DOS at the Fermi energy: 12.68 states/eV/cell
Total magnetization: 0.0 μB/f.u.

a b c (Å): 2.7783 2.7783 27.5676
angles (deg): 90.00 90.00 120.00
With the nearest neighbours (Å) after each atom.
Space group R3m (No. 160, hexagonal axes)
Inequivalent atoms, fractional coordinates:
Zr: 0.0000 0.0000 0.0000  6 Zr 2.78, 3 Ni 2.86, 3 Os 3.05
Ni: 0.0000 0.0000 0.2474  3 Os 2.65, 6 Ni 2.78, 3 Zr 2.86
Os: 0.0000 0.0000 0.5043  3 Ni 2.65, 9 Os 2.66-2.78
Os: 0.0000 0.0000 0.7608  9 Os 2.66-2.78

Going by the energies, Q is most stable and the next is 128 meV per atom up.